First-principles (meta-GGA SCAN) data for a PBEsol-optimized structure of Na5Pt3, as listed in Alexandria via LeMat-Bulk.

Output
Calculated volume in Å³ per cell: 153.91
ΔH_f (0 K) in eV per atom: -0.1270
SG: Cmmm, No. 65
Crystal system: orthorhombic

a b c (Å): 5.8784 5.8784 4.5610
angles (deg): 90.00 90.00 102.44
Sites, in units of the cell vectors:
Na  0.0000  0.0000  0.0000
Na  0.0000  0.5000  0.0000
Na  0.2226  0.7774  0.5000
Na  0.5000  0.0000  0.0000
Na  0.7774  0.2226  0.5000
Pt  0.3143  0.3143  0.5000
Pt  0.5000  0.5000  0.0000
Pt  0.6857  0.6857  0.5000



First-principles (meta-GGA SCAN) data for a PBEsol-optimized structure of CrSbMo, as listed in Alexandria via LeMat-Bulk.

Output
Calculated volume in Å³ per cell: 58.62
SG: F-43m, No. 216
Formation energy without anion corrections in kJ/mol of formula units: 156
Polymorph energy (0 for the lowest one) in eV per formula unit: 0.55
Crystal system: cubic

a b c (Å): 4.3604 4.3604 4.3604
angles (deg): 60.00 60.00 60.00
Sites, in units of the cell vectors:
Cr  0.0000  0.0000  0.0000
Sb  0.2500  0.2500  0.2500
Mo  0.5000  0.5000  0.5000



First-principles (meta-GGA SCAN) data for a PBEsol-optimized structure of KNa2HfIn, as listed in Alexandria via LeMat-Bulk.

Output
Calculated volume in Å³ per cell: 146.65
ΔH_f (0 K) in eV per atom: 1.2554
SG: P4/mmm, No. 123
Crystal system: tetragonal

a b c (Å): 4.9826 4.9826 5.9072
angles (deg): 90.00 90.00 90.00
Sites, in units of the cell vectors:
K  0.0000  0.0000  0.0000
Na  0.0000  0.5000  0.0000
Na  0.5000  0.0000  0.0000
Hf  0.0000  0.0000  0.5000
In  0.5000  0.5000  0.5000



First-principles (meta-GGA SCAN) data for a PBEsol-optimized structure of BaZrAl, as listed in Alexandria via LeMat-Bulk.

Output
Calculated volume in Å³ per cell: 87.75
ΔH_f (0 K) in eV per atom: 0.1428
SG: I4mm, No. 107
Crystal system: tetragonal

a b c (Å): 6.6299 6.6299 6.6299
angles (deg): 146.64 146.64 47.89
Sites, in units of the cell vectors:
Ba  0.0000  0.0000  0.0000
Zr  0.7213  0.7213  0.0000
Al  0.2909  0.2909  0.0000



First-principles (meta-GGA SCAN) data for a PBEsol-optimized structure of CdCu2SnS4, as listed in Alexandria via LeMat-Bulk.

Output
Calculated volume in Å³ per cell: 165.46
SG: I-42m, No. 121
Formation energy without anion corrections in kJ/mol of formula units: -373
Crystal system: tetragonal

a b c (Å): 6.6764 6.6764 6.6764
angles (deg): 131.07 131.07 71.69
Sites, in units of the cell vectors:
Cd  0.0000  0.0000  0.0000
Cu  0.2500  0.7500  0.5000
Cu  0.7500  0.2500  0.5000
Sn  0.5000  0.5000  0.0000
S  0.1150  0.1150  0.5133
S  0.3983  0.8850  0.0000
S  0.6017  0.6017  0.4867
S  0.8850  0.3983  0.0000



First-principles (meta-GGA SCAN) data for a PBEsol-optimized structure of LiCuRu, as listed in Alexandria via LeMat-Bulk.

Output
Calculated volume in Å³ per cell: 38.00
ΔH_f (0 K) in eV per atom: 0.1969
SG: I4mm, No. 107
Crystal system: tetragonal

a b c (Å): 6.4125 6.4125 6.4125
angles (deg): 157.68 157.68 31.77
Sites, in units of the cell vectors:
Li  0.0000  0.0000  0.0000
Cu  0.3334  0.3334  0.0000
Ru  0.6721  0.6721  0.0000



First-principles (meta-GGA SCAN) data for a PBEsol-optimized structure of Ba3AlN3, as listed in Alexandria via LeMat-Bulk.

Output
Calculated volume in Å³ per cell: 318.39
SG: P6_3/m, No. 176
Formation energy without anion corrections in kJ/mol of formula units: -576
Crystal system: hexagonal

a b c (Å): 8.0838 8.0838 5.6259
angles (deg): 90.00 90.00 120.00
Sites, in units of the cell vectors:
Ba  0.0680  0.3625  0.2500
Ba  0.2945  0.9320  0.2500
Ba  0.3625  0.2945  0.7500
Ba  0.6375  0.7055  0.2500
Ba  0.7055  0.0680  0.7500
Ba  0.9320  0.6375  0.7500
Al  0.3333  0.6667  0.7500
Al  0.6667  0.3333  0.2500
N  0.1176  0.4261  0.7500
N  0.3085  0.8824  0.7500
N  0.4261  0.3085  0.2500
N  0.5739  0.6915  0.7500
N  0.6915  0.1176  0.2500
N  0.8824  0.5739  0.2500



First-principles (meta-GGA SCAN) data for a PBEsol-optimized structure of CsLiY2, as listed in Alexandria via LeMat-Bulk.

Output
Calculated volume in Å³ per cell: 119.91
ΔH_f (0 K) in eV per atom: 0.6726
SG: Fm-3m, No. 225
Crystal system: cubic

a b c (Å): 5.5351 5.5351 5.5351
angles (deg): 60.00 60.00 60.00
Sites, in units of the cell vectors:
Cs  0.0000  0.0000  0.0000
Li  0.5000  0.5000  0.5000
Y  0.2500  0.2500  0.2500
Y  0.7500  0.7500  0.7500



First-principles (meta-GGA SCAN) data for a PBEsol-optimized structure of CdPHCl2, as listed in Alexandria via LeMat-Bulk.

Output
Calculated volume in Å³ per cell: 133.87
Electronic total energy in eV per atom: -11.49
SG: P4/mmm, No. 123
Crystal system: tetragonal

a b c (Å): 5.1407 5.1407 5.0657
angles (deg): 90.00 90.00 90.00
Sites, in units of the cell vectors:
Cd  0.0000  0.0000  0.0000
P  0.0000  0.0000  0.5000
H  0.5000  0.5000  0.5000
Cl  0.0000  0.5000  0.0000
Cl  0.5000  0.0000  0.0000



First-principles (meta-GGA SCAN) data for a PBEsol-optimized structure of Ba2ZnH2, as listed in Alexandria via LeMat-Bulk.

Output
Calculated volume in Å³ per cell: 127.11
Electronic total energy in eV per atom: -20.26
SG: I4/mmm, No. 139
Crystal system: tetragonal

a b c (Å): 7.7993 7.7993 7.7993
angles (deg): 148.77 148.77 44.74
Sites, in units of the cell vectors:
Ba  0.1456  0.1456  0.0000
Ba  0.8544  0.8544  0.0000
Zn  0.5000  0.5000  0.0000
H  0.2500  0.7500  0.5000
H  0.7500  0.2500  0.5000



First-principles (meta-GGA SCAN) data for a PBEsol-optimized structure of SrLi3Br, as listed in Alexandria via LeMat-Bulk.

Output
Calculated volume in Å³ per cell: 147.74
SG: Pm-3m, No. 221
Formation energy without anion corrections in kJ/mol of formula units: -169
Crystal system: cubic

a b c (Å): 5.2864 5.2864 5.2864
angles (deg): 90.00 90.00 90.00
Sites, in units of the cell vectors:
Sr  0.0000  0.0000  0.0000
Li  0.0000  0.5000  0.5000
Li  0.5000  0.0000  0.5000
Li  0.5000  0.5000  0.0000
Br  0.5000  0.5000  0.5000



First-principles (meta-GGA SCAN) data for a PBEsol-optimized structure of SbTe2Au, as listed in Alexandria via LeMat-Bulk.

Output
Calculated volume in Å³ per cell: 104.57
SG: Amm2, No. 38
Formation energy without anion corrections in kJ/mol of formula units: -47
Crystal system: orthorhombic

a b c (Å): 4.1693 5.1839 5.1839
angles (deg): 68.95 90.00 90.00
Sites, in units of the cell vectors:
Sb  0.0000  0.0000  0.0000
Te  0.0000  0.4300  0.4300
Te  0.5000  0.7257  0.7257
Au  0.5000  0.2149  0.2149



The lowest calculated volume belongs to which entry?
LiCuRu



What is the calculated volume in the eighth record?
119.91 Å³ per cell



Repeat the fourth record exactly.
First-principles (meta-GGA SCAN) data for a PBEsol-optimized structure of BaZrAl, as listed in Alexandria via LeMat-Bulk.

Output
Calculated volume in Å³ per cell: 87.75
ΔH_f (0 K) in eV per atom: 0.1428
SG: I4mm, No. 107
Crystal system: tetragonal

a b c (Å): 6.6299 6.6299 6.6299
angles (deg): 146.64 146.64 47.89
Sites, in units of the cell vectors:
Ba  0.0000  0.0000  0.0000
Zr  0.7213  0.7213  0.0000
Al  0.2909  0.2909  0.0000



Which of these has the highest calculated volume?
Ba3AlN3